[1]
Entry from Alexandria: a geometry-optimized Er4TmPb2 structure (PBE).

Values from the calculation:
SG = I4/mmm
E = -26.8 eV/f.u.
ΔH_f (0 K) = 0.484 eV/atom

abc: 5.3270 5.3270 9.0586
angles: 107.10 107.10 90.00
Fractional positions:
Er (0.8174, 0.8174, 0.6348)
Er (0.1826, 0.1826, 0.3652)
Er (0.0000, 0.5000, 0.0000)
Er (0.5000, 0.0000, 0.0000)
Tm (0.0000, 0.0000, 0.0000)
Pb (0.6308, 0.6308, 0.2615)
Pb (0.3692, 0.3692, 0.7385)

***

[2]
Entry from Alexandria: a geometry-optimized LiZn2Mo structure (PBE).

Values from the calculation:
SG = Pmm2
E = -15.3 eV/f.u.
energy above the most stable polymorph in this dataset = 20.1 meV per atom
ΔH_f (0 K) = 0.007 eV/atom

abc: 4.7403 2.6229 4.7830
angles: 90.00 90.00 90.00
Fractional positions:
Li (0.0000, 0.6250, 0.4117)
Mo (0.5000, 0.6249, 0.8439)
Zn (0.0000, 0.1249, 0.9014)
Zn (0.5000, 0.1252, 0.3430)

***

[3]
Entry from Alexandria: a geometry-optimized MnReP2 structure (PBE).

Values from the calculation:
SG = I-42d
E = -31.9 eV/f.u.
energy above the most stable polymorph in this dataset = 404.4 meV per atom
ΔH_f (0 K) = 0.141 eV/atom

abc: 5.2323 5.2323 6.5603
angles: 66.50 66.50 90.00
Each line ends with the local moment (μB).
Fractional positions:
Re (0.0000, 0.0000, 0.0000)  -0.06
Re (0.7500, 0.2500, 0.5000)  -0.07
Mn (0.5000, 0.5000, 0.0000)  2.81
Mn (0.2500, 0.7500, 0.5000)  2.81
P (0.6270, 0.1250, 0.2500)  -0.07
P (0.1230, 0.6250, 0.2500)  -0.07
P (0.3750, 0.3730, 0.7500)  -0.07
P (0.8750, 0.8770, 0.7500)  -0.07

***

[4]
Entry from Alexandria: a geometry-optimized YNb structure (PBE).

Values from the calculation:
SG = Pm-3n
E = -11.3 eV/f.u.
energy above the most stable polymorph in this dataset = 2482.7 meV per atom
ΔH_f (0 K) = 2.603 eV/atom

abc: 8.3306 8.3306 8.3306
angles: 90.00 90.00 90.00
Each line ends with the local moment (μB).
Fractional positions:
Y (0.2500, 0.0000, 0.5000)  0.52
Y (0.7500, 0.0000, 0.5000)  0.52
Y (0.0000, 0.5000, 0.2500)  0.52
Y (0.0000, 0.5000, 0.7500)  0.52
Y (0.5000, 0.2500, 0.0000)  0.52
Y (0.5000, 0.7500, 0.0000)  0.52
Nb (0.2500, 0.5000, 0.0000)  2.46
Nb (0.7500, 0.5000, 0.0000)  2.46
Nb (0.5000, 0.0000, 0.2500)  2.46
Nb (0.5000, 0.0000, 0.7500)  2.46
Nb (0.0000, 0.2500, 0.5000)  2.46
Nb (0.0000, 0.7500, 0.5000)  2.46

***

[5]
Entry from Alexandria: a geometry-optimized BaLiAlAu structure (PBE).

Values from the calculation:
SG = Cm
E = -12.8 eV/f.u.
ΔH_f (0 K) = -0.475 eV/atom

abc: 4.5714 4.5668 6.4411
angles: 110.65 90.00 120.03
Fractional positions:
Ba (0.6222, 0.2445, 0.5085)
Li (0.8084, 0.6168, 0.0677)
Al (0.1062, 0.2125, 0.9610)
Au (0.4294, 0.8589, 0.9302)

***

[6]
Entry from Alexandria: a geometry-optimized CoGe2Ir structure (PBE).

Values from the calculation:
SG = R-3m
E = -24.3 eV/f.u.
ΔH_f (0 K) = 0.226 eV/atom

abc: 2.9177 2.9177 8.7420
angles: 80.39 80.39 60.00
Each line ends with the local moment (μB).
Fractional positions:
Ge (0.0892, 0.0892, 0.7325)  -0.01
Ge (0.9108, 0.9108, 0.2675)  -0.01
Ir (0.5000, 0.5000, 0.5000)  0.06
Co (0.0000, 0.0000, 0.0000)  1.39

***

[7]
Entry from Alexandria: a geometry-optimized Ce6S8F structure (PBE).

Values from the calculation:
E_form (uncorrected) = -197.7 kJ per mole of atoms
SG = R-3
E = -101.2 eV/f.u.

abc: 8.3637 8.3637 7.5889
angles: 56.56 56.56 60.00
Each line ends with the local moment (μB).
Fractional positions:
Ce (0.4207, 0.0685, 0.7824)  0.99
Ce (0.9315, 0.2717, 0.2176)  0.99
Ce (0.2717, 0.5793, 0.2176)  0.99
Ce (0.7283, 0.4207, 0.7824)  0.99
Ce (0.0685, 0.7283, 0.7824)  0.99
Ce (0.5793, 0.9315, 0.2176)  0.99
S (0.5861, 0.2192, 0.2985)  -0.03
S (0.7808, 0.1037, 0.7015)  -0.03
S (0.1037, 0.4139, 0.7015)  -0.03
S (0.6679, 0.6679, 0.9963)  -0.04
S (0.3321, 0.3321, 0.0037)  -0.04
S (0.8963, 0.5861, 0.2985)  -0.03
S (0.2192, 0.8963, 0.2985)  -0.03
S (0.4139, 0.7808, 0.7015)  -0.03
F (0.0000, 0.0000, 0.0000)  -0.01

***

[8]
Entry from Alexandria: a geometry-optimized CrCo2Au structure (PBE).

Values from the calculation:
SG = P4mm
E = -26.1 eV/f.u.
energy above the most stable polymorph in this dataset = 30.3 meV per atom
ΔH_f (0 K) = 0.257 eV/atom

abc: 2.6447 2.6447 7.3844
angles: 90.00 90.00 90.01
Each line ends with the local moment (μB).
Fractional positions:
Au (0.5000, 0.5000, 0.7517)  0.04
Co (0.0000, 0.0000, 0.0330)  1.79
Co (0.5000, 0.5000, 0.2464)  1.23
Cr (0.0000, 0.0000, 0.4689)  0.25

***

| no. | volume (Å³/f.u.) |
| --- | --- |
| 1 | 233.8 |
| 2 | 59.5 |
| 3 | 74.2 |
| 4 | 96.4 |
| 5 | 106.3 |
| 6 | 63.2 |
| 7 | 354.7 |
| 8 | 51.6 |